This record from the Alexandria database describes a geometry-optimized Sr3Zn2Ag9Sn structure. The functional is PBE-GGA.

Geometry as POSCAR:
```
Sr3Zn2Ag9Sn
1.0
-5.656 3.804 1.916
-0.645 -5.093 -4.875
-1.836 -6.017 6.529
Sr Ag Zn Sn
3 9 2 1
Direct
0.667 0.333 0.293 Sr
0.000 0.000 0.000 Sr
0.333 0.667 0.707 Sr
0.801 0.602 0.620 Ag
0.000 0.500 0.000 Ag
0.199 0.801 0.380 Ag
0.500 0.500 0.000 Ag
0.602 0.801 0.380 Ag
0.199 0.398 0.380 Ag
0.500 0.000 0.000 Ag
0.801 0.199 0.620 Ag
0.398 0.199 0.620 Ag
0.667 0.333 0.838 Zn
0.333 0.667 0.162 Zn
0.000 0.000 0.500 Sn
```

## Properties
Total magnetization in μB per formula unit: 0.00
Crystal system: trigonal
N(E_F) in states/eV/f.u.: 7.11
E in eV for the cell shown: -38.19



This record from the Alexandria database describes a geometry-optimized Sr2ZnAg6Sn structure. The functional is PBE-GGA.

Geometry as POSCAR:
```
Sr2ZnAg6Sn
1.0
-3.454 6.611 5.543
-0.717 -3.848 4.150
2.240 2.416 6.552
Ag Zn Sr Sn
6 1 2 1
Direct
0.907 0.746 0.507 Ag
0.742 0.254 0.995 Ag
0.258 0.746 0.005 Ag
0.258 0.247 0.007 Ag
0.093 0.254 0.493 Ag
0.742 0.753 0.993 Ag
0.500 0.500 0.000 Zn
0.278 0.743 0.514 Sr
0.722 0.257 0.486 Sr
0.000 0.000 0.000 Sn
```

## Properties
Total magnetization in μB per formula unit: 0.00
Crystal system: monoclinic
N(E_F) in states/eV/f.u.: 4.16
E in eV for the cell shown: -27.43



This record from the Alexandria database describes a geometry-optimized SrZnAgSn2 structure. The functional is PBE-GGA.

Geometry as POSCAR:
```
SrZnAgSn2
1.0
4.669 0.000 0.000
0.000 4.669 0.000
-2.335 -2.335 5.914
Sn Zn Sr Ag
2 1 1 1
Direct
0.379 0.379 0.758 Sn
0.621 0.621 0.242 Sn
0.750 0.250 0.500 Zn
0.000 0.000 0.000 Sr
0.250 0.750 0.500 Ag
```

## Properties
Total magnetization in μB per formula unit: 0.00
Crystal system: tetragonal
N(E_F) in states/eV/f.u.: 1.46
E in eV for the cell shown: -15.54



This record from the Alexandria database describes a geometry-optimized Sr2Zn4AgSn3 structure. The functional is PBE-GGA.

Geometry as POSCAR:
```
Sr2Zn4AgSn3
1.0
-0.093 4.228 -1.595
-0.533 -1.595 -4.196
-11.600 0.263 1.374
Zn Sr Sn Ag
4 2 3 1
Direct
0.000 0.500 0.366 Zn
0.500 0.500 0.000 Zn
0.500 0.000 0.634 Zn
0.000 0.000 0.000 Zn
0.000 0.500 0.749 Sr
0.500 0.000 0.251 Sr
0.000 0.000 0.500 Sn
0.000 0.500 0.137 Sn
0.500 0.000 0.863 Sn
0.500 0.500 0.500 Ag
```

## Properties
Total magnetization in μB per formula unit: 0.00
Crystal system: tetragonal
N(E_F) in states/eV/f.u.: 3.18
E in eV for the cell shown: -26.72